PBE Dy6In3Hg, optimized geometry; energy of formation = -351 kJ/mol of formula units; total magnetic moment = 0.002 μB/cell; space-group type = No. 11
1.0
-0.690 -1.195 -5.139
3.158 -8.621 1.581
-11.534 -0.076 1.567
Dy In Hg
12 6 2
Direct
0.250 0.461 0.087
0.750 0.539 0.913
0.250 0.134 0.165
0.750 0.866 0.835
0.250 0.661 0.675
0.750 0.339 0.325
0.250 0.242 0.499
0.750 0.758 0.501
0.250 0.843 0.308
0.750 0.157 0.692
0.250 0.097 0.878
0.750 0.903 0.122
0.250 0.529 0.382
0.750 0.471 0.618
0.250 0.378 0.785
0.750 0.622 0.215
0.250 0.776 0.972
0.750 0.224 0.028
0.250 0.954 0.606
0.750 0.046 0.394


PBE LiReSb2, optimized geometry; formation energy from raw total energies = 0.036 eV/atom; total magnetic moment = 0.000 μB/cell; distance to the lowest polymorph of the same formula = 0.0 meV per atom; space-group type = No. 10
1.0
3.260 0.000 0.000
0.000 3.267 -0.008
0.000 2.358 7.677
Li Re Sb
1 1 2
Direct
0.500 0.250 0.250
0.500 0.750 0.750
0.000 0.090 0.965
0.000 0.410 0.535


PBE AcPr7Nd3, optimized geometry; energy of formation = 206 kJ/mol of formula units; total magnetic moment = 0.000 μB/cell; distance to the lowest polymorph of the same formula = 20.1 meV per atom; space-group type = No. 12
1.0
-0.276 5.892 3.205
0.206 -3.294 7.228
7.839 0.311 1.260
Ac Pr Nd
1 7 3
Direct
0.500 0.500 0.500
0.796 0.233 0.233
0.740 0.926 0.574
0.260 0.426 0.074
0.740 0.574 0.926
0.000 0.500 0.500
0.260 0.074 0.426
0.204 0.767 0.767
0.000 0.828 0.172
0.500 0.000 0.000
0.000 0.172 0.828


Q: Which V values were calculated for the entries above? A: 27.5; 20.5; 37.9, in Å³/atom.